The following is a PBEsol calculation of a relaxed structure of LiSiAs2, from Alexandria. Values from VASP.

Computed properties:
Space group   P4mm (99)
N(E_F)   1.20 states/eV per cell
Electronic total energy   -4.5236 eV per atom
Size of the total moment   0.0 Bohr magnetons per cell
Crystal system   tetragonal

Quantum ESPRESSO input file:
```
&SYSTEM
  ibrav = 0, nat = 4, ntyp = 3
/
ATOMIC_SPECIES
As 74.92 As.upf
Si 28.09 Si.upf
Li 6.94 Li.upf
CELL_PARAMETERS angstrom
3.342 0.000 0.000
0.000 3.342 0.000
0.000 0.000 6.374
ATOMIC_POSITIONS crystal
As 0.000 0.000 0.901
As 0.500 0.500 0.358
Si 0.500 0.500 0.741
Li 0.000 0.000 0.500
```

=====

The following is a PBEsol calculation of a relaxed structure of MgBi2O5, from Alexandria. Values from VASP.

Computed properties:
Space group   Cmcm (63)
N(E_F)   5.50 states/eV per cell
Electronic total energy   -5.9430 eV per atom
Size of the total moment   0.0 Bohr magnetons per cell
Crystal system   orthorhombic

Quantum ESPRESSO input file:
```
&SYSTEM
  ibrav = 0, nat = 16, ntyp = 3
/
ATOMIC_SPECIES
Mg 24.30 Mg.upf
Bi 208.98 Bi.upf
O 16.00 O.upf
CELL_PARAMETERS angstrom
-3.144 1.313 -2.589
-1.356 -4.955 2.671
-4.391 5.608 8.177
ATOMIC_POSITIONS crystal
Mg 0.812 0.624 0.750
Mg 0.188 0.376 0.250
Bi 0.140 0.279 0.930
Bi 0.860 0.721 0.070
Bi 0.860 0.721 0.430
Bi 0.140 0.279 0.570
O 0.757 0.515 0.250
O 0.243 0.485 0.750
O 0.308 0.615 0.419
O 0.692 0.385 0.581
O 0.692 0.385 0.919
O 0.308 0.615 0.081
O 0.945 0.889 0.885
O 0.055 0.111 0.115
O 0.945 0.889 0.615
O 0.055 0.111 0.385
```

=====

The following is a PBEsol calculation of a relaxed structure of MgNiP2O7, from Alexandria. Values from VASP.

Computed properties:
Space group   P-1 (2)
Electronic total energy   -7.1990 eV per atom
Size of the total moment   4.0 Bohr magnetons per cell
Crystal system   triclinic

Quantum ESPRESSO input file:
```
&SYSTEM
  ibrav = 0, nat = 22, ntyp = 4
/
ATOMIC_SPECIES
Mg 24.30 Mg.upf
Ni 58.69 Ni.upf
P 30.97 P.upf
O 16.00 O.upf
CELL_PARAMETERS angstrom
-0.892 -0.765 5.330
4.313 -4.116 2.164
5.088 4.848 1.857
ATOMIC_POSITIONS crystal
Mg 0.329 0.657 0.654
Mg 0.671 0.343 0.346
Ni 0.254 0.162 0.205
Ni 0.746 0.838 0.795
P 0.184 0.687 0.095
P 0.816 0.313 0.905
P 0.238 0.196 0.613
P 0.762 0.804 0.387
O 0.101 0.691 0.895
O 0.899 0.309 0.105
O 0.293 0.873 0.121
O 0.707 0.127 0.879
O 0.355 0.451 0.171
O 0.645 0.549 0.829
O 0.599 0.648 0.432
O 0.401 0.352 0.568
O 0.054 0.214 0.452
O 0.946 0.786 0.548
O 0.080 0.281 0.791
O 0.920 0.719 0.209
O 0.605 0.047 0.326
O 0.395 0.953 0.674
```